[1]
# ZrHBr3

A relaxed structure of ZrHBr3 (PBE, Alexandria).

Unit cell a=4.6414 b=4.6414 c=4.6414 alpha=90.00 beta=90.00 gamma=90.00
With the nearest neighbours (Å) after each atom.
Positions (direct):
1 Zr 0.0000 0.0000 0.0000  12 Br 3.28
2 H 0.5000 0.5000 0.5000  6 Br 2.32
3 Br 0.0000 0.5000 0.5000  2 H 2.32
4 Br 0.5000 0.0000 0.5000  2 H 2.32
5 Br 0.5000 0.5000 0.0000  2 H 2.32

Summary:
Total energy: -15.8 eV/f.u.
Distance to the lowest polymorph of the same formula: 1.2834 eV/atom

=====

[2]
# AcGdAgAs

A relaxed structure of AcGdAgAs (PBE, Alexandria).

Unit cell a=5.3541 b=5.3541 c=5.3541 alpha=60.00 beta=60.00 gamma=60.00
With the nearest neighbours (Å) after each atom.
Positions (direct):
1 Ac 0.0000 0.0000 0.0000  4 As 3.28, 4 Ag 3.28
2 Gd 0.5000 0.5000 0.5000  4 As 3.28, 4 Ag 3.28
3 Ag 0.2500 0.2500 0.2500  4 Gd 3.28, 4 Ac 3.28
4 As 0.7500 0.7500 0.7500  4 Gd 3.28, 4 Ac 3.28

Summary:
Total energy: -28.1 eV/f.u.
E_form: -605.1 meV/atom

=====

[3]
# Pu8Ru2Pt3

A relaxed structure of Pu8Ru2Pt3 (PBE, Alexandria).

Unit cell a=7.4836 b=7.4836 c=5.3296 alpha=109.57 beta=109.57 gamma=84.05
With the nearest neighbours (Å) after each atom.
Positions (direct):
1 Pu 0.0649 0.0649 0.2381  1 Pu 2.28
2 Pu 0.0939 0.5815 0.8501  1 Ru 2.85, 2 Pu 2.91-3.03, 3 Pt 2.93-3.14
3 Pu 0.3575 0.3575 0.3820  1 Ru 2.73, 2 Pu 2.83-2.99, 1 Pt 2.94
4 Pu 0.4185 0.9061 0.1499  1 Ru 2.85, 2 Pu 2.91-3.03, 3 Pt 2.93-3.14
5 Pu 0.5815 0.0939 0.8501  1 Ru 2.85, 2 Pu 2.91-3.03, 3 Pt 2.93-3.14
6 Pu 0.6425 0.6425 0.6180  1 Ru 2.73, 2 Pu 2.83-2.99, 1 Pt 2.94
7 Pu 0.9061 0.4185 0.1499  1 Ru 2.85, 2 Pu 2.91-3.03, 3 Pt 2.93-3.14
8 Pu 0.9351 0.9351 0.7619  1 Pu 2.28
9 Ru 0.1983 0.1983 0.8145  5 Pu 2.73-2.85, 1 Pt 3.04
10 Ru 0.8017 0.8017 0.1855  5 Pu 2.73-2.85, 1 Pt 3.04
11 Pt 0.2278 0.7722 0.5000  8 Pu 2.93-3.14, 2 Ru 3.09
12 Pt 0.5000 0.5000 0.0000  8 Pu 2.93-3.09, 2 Ru 3.04
13 Pt 0.7722 0.2278 0.5000  8 Pu 2.93-3.14, 2 Ru 3.09

Summary:
Total energy: -154.3 eV/f.u.
E_form: -231.0 meV/atom

=====

[4]
# TbPr2Dy5Th

A relaxed structure of TbPr2Dy5Th (PBE, Alexandria).

Unit cell a=10.3851 b=10.3851 c=10.7950 alpha=90.00 beta=90.00 gamma=148.48
With the nearest neighbours (Å) after each atom.
Positions (direct):
1 Tb 0.2008 0.7992 0.5000  2 Pr 3.43-3.75, 8 Dy 3.54-3.82, 2 Th 3.72
2 Tb 0.7992 0.2008 0.0000  2 Pr 3.43-3.75, 8 Dy 3.54-3.82, 2 Th 3.72
3 Pr 0.1152 0.8848 0.2243  1 Tb 3.43, 7 Dy 3.44-3.74, 2 Th 3.76
4 Pr 0.1155 0.8845 0.8099  8 Dy 3.30-3.58
5 Pr 0.8845 0.1155 0.3099  8 Dy 3.30-3.58
6 Pr 0.8848 0.1152 0.7243  1 Tb 3.43, 7 Dy 3.44-3.74, 2 Th 3.76
7 Dy 0.0156 0.9844 0.5173  2 Th 3.22, 2 Pr 3.44-3.45
8 Dy 0.2807 0.7193 0.8040  1 Th 3.13, 1 Pr 3.30, 2 Dy 3.44
9 Dy 0.2994 0.7006 0.1984  3 Dy 3.44-3.61, 3 Pr 3.51-3.69, 3 Tb 3.54-3.81, 1 Th 3.59
10 Dy 0.3920 0.6080 0.5132  6 Dy 3.47-3.87, 4 Pr 3.58-3.63, 1 Tb 3.82
11 Dy 0.4791 0.5209 0.2284  2 Th 3.15-3.28, 1 Dy 3.47, 2 Pr 3.51
12 Dy 0.5209 0.4791 0.7284  2 Th 3.15-3.28, 1 Dy 3.47, 2 Pr 3.51
13 Dy 0.6080 0.3920 0.0132  6 Dy 3.47-3.87, 4 Pr 3.58-3.63, 1 Tb 3.82
14 Dy 0.7006 0.2994 0.6984  3 Dy 3.44-3.61, 3 Pr 3.51-3.69, 3 Tb 3.54-3.81, 1 Th 3.59
15 Dy 0.7193 0.2807 0.3040  1 Th 3.13, 1 Pr 3.30, 2 Dy 3.44
16 Dy 0.9844 0.0156 0.0173  2 Th 3.22, 2 Pr 3.44-3.45
17 Th 0.4169 0.5831 0.9472  5 Dy 3.13-3.28
18 Th 0.5831 0.4169 0.4472  5 Dy 3.13-3.28

Summary:
Total energy: -43.1 eV/f.u.
E_form: 166.3 meV/atom